[1]
Below is a geometry-optimized Li2AsI2 structure, with properties calculated at the PBE level.

POSCAR file:
```
Li2AsI2
1.0
-3.766 1.976 6.789
-6.016 -4.937 -1.900
1.798 -2.899 1.841
As Li I
2 4 4
Cartesian
-4.891 -1.480 2.444
0.000 0.000 0.000
-7.112 -1.531 4.533
-3.353 0.543 4.129
-6.428 -3.504 0.759
-2.670 -1.429 0.356
-3.763 -4.419 0.797
-1.365 -1.631 2.845
-6.619 -4.229 3.884
-4.221 -1.441 5.932
```

Values from the calculation:
The symmetry is P4/mbm, No. 127. For the total energy, the calculation gives -2.6228 eV per atom. The uncorrected formation energy is -1.54 eV per formula unit.

***

[2]
Below is a geometry-optimized LiAsI2 structure, with properties calculated at the PBE level.

POSCAR file:
```
LiAsI2
1.0
1.217 -3.828 -3.601
-1.818 -5.032 0.694
-3.832 -1.957 -3.255
Li I As
1 2 1
Cartesian
0.000 0.000 0.000
-1.108 -2.704 -1.540
-3.325 -8.113 -4.621
-2.216 -5.409 -3.081
```

Values from the calculation:
The value obtained for the excess energy over the best structure of this formula in the dataset is 135 kJ/mol of formula units. The symmetry is Fm-3m, No. 225. For the total energy, the calculation gives -2.3223 eV per atom. The uncorrected formation energy is 0.37 eV per formula unit.

***

[3]
Below is a geometry-optimized LiAsI2 structure, with properties calculated at the PBE level.

POSCAR file:
```
LiAsI2
1.0
-0.944 -5.686 0.533
2.002 0.177 5.428
-7.414 -1.167 5.858
Li As I
2 2 4
Cartesian
0.529 -2.755 2.980
-2.441 -1.872 7.133
0.000 0.000 0.000
-3.914 -4.804 4.686
-4.610 -5.693 9.676
-0.709 -0.822 4.917
-2.205 -3.893 2.483
-5.188 -2.943 6.562
```

Values from the calculation:
The value obtained for the excess energy over the best structure of this formula in the dataset is 48 kJ/mol of formula units. The symmetry is I-42d, No. 122. For the total energy, the calculation gives -2.5498 eV per atom. The uncorrected formation energy is -0.54 eV per formula unit.

***

[4]
Below is a geometry-optimized LiAsI2 structure, with properties calculated at the PBE level.

POSCAR file:
```
LiAsI2
1.0
3.989 0.000 0.000
1.995 3.455 0.000
1.995 1.152 9.027
I As Li
2 1 1
Cartesian
1.995 1.152 6.244
5.984 3.455 2.783
0.000 0.000 0.000
3.989 2.303 4.514
```

Values from the calculation:
The value obtained for the excess energy over the best structure of this formula in the dataset is 0 kJ/mol of formula units. The symmetry is R-3m, No. 166. For the total energy, the calculation gives -2.6730 eV per atom. The uncorrected formation energy is -1.03 eV per formula unit.

***

[5]
Below is a geometry-optimized Li3AsI structure, with properties calculated at the PBE level.

POSCAR file:
```
Li3AsI
1.0
-2.587 -1.627 3.902
1.342 -4.654 -1.051
4.009 0.508 2.870
Li I As
3 1 1
Cartesian
2.005 0.254 1.435
0.671 -2.327 -0.526
-1.293 -0.814 1.951
1.382 -2.887 2.861
0.000 0.000 0.000
```

Values from the calculation:
The value obtained for the excess energy over the best structure of this formula in the dataset is 0 kJ/mol of formula units. The symmetry is Pm-3m, No. 221. For the total energy, the calculation gives -2.9323 eV per atom. The uncorrected formation energy is -2.72 eV per formula unit.

***

[6]
Below is a geometry-optimized LiAsI4 structure, with properties calculated at the PBE level.

POSCAR file:
```
LiAsI4
1.0
-0.389 -7.025 -2.216
3.218 -0.910 6.575
-7.835 -0.744 3.732
I Li As
8 2 2
Cartesian
-3.532 -6.862 6.464
-1.474 -1.817 1.626
-5.637 -3.563 7.493
0.265 -6.694 4.305
0.632 -5.116 0.597
-3.062 -5.466 2.357
-5.271 -1.985 3.785
-1.944 -3.213 5.734
-3.917 -0.372 1.866
0.000 0.000 0.000
-0.676 -4.378 2.790
-4.329 -4.301 5.300
```

Values from the calculation:
The value obtained for the excess energy over the best structure of this formula in the dataset is 19 kJ/mol of formula units. The symmetry is Cmcm, No. 63. For the total energy, the calculation gives -2.5863 eV per atom. The uncorrected formation energy is -2.75 eV per formula unit.

***

[7]
Below is a geometry-optimized LiAsI structure, with properties calculated at the PBE level.

POSCAR file:
```
LiAsI
1.0
4.476 -0.175 0.522
0.158 5.859 0.601
1.505 2.165 7.372
As I Li
2 2 2
Cartesian
4.584 3.825 0.932
1.556 4.023 7.563
4.031 2.319 5.211
2.109 5.530 3.284
2.003 2.577 3.209
4.136 5.272 5.285
```

Values from the calculation:
The symmetry is C2/m, No. 12. For the total energy, the calculation gives -3.1960 eV per atom. The uncorrected formation energy is -1.47 eV per formula unit.

***

[8]
Below is a geometry-optimized LiAsI3 structure, with properties calculated at the PBE level.

POSCAR file:
```
LiAsI3
1.0
0.922 0.638 -4.695
-10.661 -4.038 4.786
0.227 9.823 1.734
I As Li
6 2 2
Cartesian
-7.352 5.464 3.080
0.094 1.813 -3.881
-3.156 8.682 -0.398
-4.665 2.476 2.410
-0.466 5.697 -1.059
-7.211 0.160 -0.513
-3.640 6.044 2.701
-4.175 5.114 -0.689
-7.959 -1.439 1.605
-0.073 2.770 -1.300
```

Values from the calculation:
The value obtained for the excess energy over the best structure of this formula in the dataset is 0 kJ/mol of formula units. The symmetry is P1, No. 1. For the total energy, the calculation gives -2.7757 eV per atom. The uncorrected formation energy is -2.66 eV per formula unit.

***

[9]
Below is a geometry-optimized Li2AsI6 structure, with properties calculated at the PBE level.

POSCAR file:
```
Li2AsI6
1.0
7.494 0.000 0.318
0.000 7.309 0.000
-0.486 0.000 11.517
I Li As
12 4 2
Cartesian
5.586 5.367 11.770
2.082 5.597 5.853
4.677 1.975 9.805
2.009 5.323 9.683
4.927 1.712 5.982
2.332 5.334 2.030
1.422 1.942 0.064
1.172 1.680 3.887
1.009 1.669 7.751
5.836 5.630 7.947
5.999 5.641 4.084
4.999 1.986 2.152
-0.081 3.661 1.943
3.585 0.006 3.975
3.424 7.303 7.860
7.089 3.648 9.892
3.747 3.655 0.159
-0.243 0.000 5.758
```

Values from the calculation:
The symmetry is P2_1/c, No. 14. For the total energy, the calculation gives -2.4968 eV per atom. The uncorrected formation energy is -4.69 eV per formula unit.

***

[10]
Below is a geometry-optimized LiAs3I structure, with properties calculated at the PBE level.

POSCAR file:
```
LiAs3I
1.0
-1.767 -3.367 -2.892
-1.649 -2.392 3.792
-4.121 2.401 -0.278
As I Li
3 1 1
Cartesian
-2.060 1.200 -0.139
-0.883 -1.683 -1.446
-0.825 -1.196 1.896
-3.768 -1.679 0.311
0.000 0.000 0.000
```

Values from the calculation:
The value obtained for the excess energy over the best structure of this formula in the dataset is 0 kJ/mol of formula units. The symmetry is Pm-3m, No. 221. For the total energy, the calculation gives -2.8511 eV per atom. The uncorrected formation energy is 3.16 eV per formula unit.

***

[11]
Below is a geometry-optimized Li2AsI2 structure, with properties calculated at the PBE level.

POSCAR file:
```
Li2AsI2
1.0
5.756 0.000 0.000
0.000 5.756 0.000
2.878 2.878 5.974
I Li As
2 2 1
Cartesian
2.878 5.756 2.987
5.756 2.878 2.987
5.756 5.756 2.953
2.878 2.878 3.021
0.000 0.000 0.000
```

Values from the calculation:
The symmetry is I4/mmm, No. 139. For the total energy, the calculation gives -2.6236 eV per atom. The uncorrected formation energy is -1.54 eV per formula unit.

***

[12]
Below is a geometry-optimized Li12As3I5 structure, with properties calculated at the PBE level.

POSCAR file:
```
Li12As3I5
1.0
-4.847 -0.384 12.741
13.393 -2.563 0.153
-2.203 12.357 -5.332
Li I As
48 20 12
Cartesian
1.210 2.500 -0.002
11.442 -0.589 0.239
0.802 3.315 3.375
1.386 6.306 2.381
7.459 0.586 9.385
-5.099 9.999 7.323
11.229 2.002 -0.519
-1.612 4.263 8.709
7.532 -0.584 2.631
5.541 6.096 4.187
-2.641 2.524 6.907
0.114 0.914 6.600
6.699 -1.039 5.167
6.229 8.497 0.962
-4.886 7.408 8.081
8.285 -1.792 10.381
7.676 2.888 2.238
1.227 5.662 5.517
5.116 3.749 2.044
-1.854 0.272 9.049
7.645 2.919 5.444
8.183 5.631 3.820
3.598 9.177 -3.437
4.062 0.226 8.634
-1.333 6.522 5.324
3.844 -0.034 4.111
0.950 4.810 -1.389
5.133 6.911 7.564
-0.356 10.449 2.395
8.984 6.886 0.655
4.957 3.104 5.181
5.393 4.600 8.951
-1.116 8.824 -1.823
-1.190 9.994 4.931
2.745 0.234 10.999
1.794 9.665 6.056
2.499 9.444 3.451
2.281 9.185 -1.072
-0.258 1.943 10.460
4.548 -0.255 1.506
8.197 9.138 -1.487
7.955 5.147 -1.147
-1.942 11.203 -2.819
-1.303 6.491 2.118
1.225 3.048 7.841
-1.840 3.780 3.742
6.601 7.467 -2.898
5.118 6.363 -0.279
2.477 7.330 7.245
5.595 4.897 -2.589
8.139 0.607 6.764
5.088 8.650 3.412
0.000 0.000 0.000
10.232 -0.794 2.652
-2.424 -0.192 6.370
-3.889 10.204 4.910
1.255 0.760 4.150
4.273 -1.473 6.447
8.613 2.664 -0.292
-2.270 6.747 7.854
-3.525 5.987 3.705
6.697 -1.281 0.076
3.866 2.080 0.317
3.171 4.705 3.781
-1.102 6.178 -2.666
2.434 6.666 -0.090
3.909 2.744 7.652
-1.796 8.803 0.798
5.231 9.115 -1.384
-0.364 4.218 1.205
9.461 6.977 -2.273
6.002 1.344 3.540
0.341 8.067 4.022
1.112 0.296 8.946
0.815 10.124 -3.034
6.707 5.193 6.357
-0.507 3.753 6.002
5.528 -0.713 10.596
6.850 5.657 1.560
-3.118 2.433 9.834
```

Values from the calculation:
The symmetry is Ia-3d, No. 230. For the total energy, the calculation gives -2.9957 eV per atom. The uncorrected formation energy is -15.25 eV per formula unit.

***

[13]
Below is a geometry-optimized LiAsI3 structure, with properties calculated at the PBE level.

POSCAR file:
```
LiAsI3
1.0
5.434 0.000 0.000
0.000 5.434 0.000
0.000 0.000 5.434
I Li As
3 1 1
Cartesian
2.717 0.000 0.000
0.000 0.000 2.717
0.000 2.717 0.000
0.000 0.000 0.000
2.717 2.717 2.717
```

Values from the calculation:
The value obtained for the excess energy over the best structure of this formula in the dataset is 348 kJ/mol of formula units. The symmetry is Pm-3m, No. 221. For the total energy, the calculation gives -2.0535 eV per atom. The uncorrected formation energy is 0.95 eV per formula unit.

***

[14]
Below is a geometry-optimized Li3AsI structure, with properties calculated at the PBE level.

POSCAR file:
```
Li3AsI
1.0
-4.642 1.822 -1.017
-1.967 -4.649 0.649
-0.697 0.985 4.945
As Li I
1 3 1
Cartesian
-3.653 -0.921 2.288
-0.983 -2.325 0.325
-0.348 0.493 2.472
-2.321 0.911 -0.508
0.000 0.000 0.000
```

Values from the calculation:
The value obtained for the excess energy over the best structure of this formula in the dataset is 151 kJ/mol of formula units. The symmetry is Pm-3m, No. 221. For the total energy, the calculation gives -2.6194 eV per atom. The uncorrected formation energy is -1.16 eV per formula unit.

***

[15]
Below is a geometry-optimized LiMo2AsI structure, with properties calculated at the PBE level.

POSCAR file:
```
LiMo2AsI
1.0
-4.587 -0.272 -0.747
0.123 -3.878 0.654
-0.781 0.739 4.529
Li Mo As I
1 2 1 1
Cartesian
0.000 0.000 0.000
-2.293 -0.136 -0.373
-0.391 0.370 2.265
0.062 -1.939 0.327
-2.622 -1.705 2.218
```

Values from the calculation:
The symmetry is P4/mmm, No. 123. For the total energy, the calculation gives -4.7566 eV per atom. The uncorrected formation energy is 5.99 eV per formula unit.

***

[16]
Below is a geometry-optimized LiAsI2N structure, with properties calculated at the PBE level.

POSCAR file:
```
LiAsI2N
1.0
5.463 0.000 0.000
0.000 5.463 0.000
0.000 0.000 3.909
I N Li As
2 1 1 1
Cartesian
2.731 0.000 0.000
0.000 2.731 0.000
0.000 0.000 1.955
0.000 0.000 0.000
2.731 2.731 1.955
```

Values from the calculation:
The value obtained for the excess energy over the best structure of this formula in the dataset is 284 kJ/mol of formula units. The symmetry is P4/mmm, No. 123. For the total energy, the calculation gives -2.7571 eV per atom. The uncorrected formation energy is 4.20 eV per formula unit.

***

[17]
Below is a geometry-optimized LiAsI2N structure, with properties calculated at the PBE level.

POSCAR file:
```
LiAsI2N
1.0
-1.035 -4.504 3.912
-3.311 -2.869 -4.179
3.043 -1.750 -1.210
I As N Li
2 1 1 1
Cartesian
-0.517 -2.252 1.956
-1.656 -1.434 -2.089
0.000 0.000 0.000
1.522 -0.875 -0.605
-0.651 -4.561 -0.739
```

Values from the calculation:
The value obtained for the excess energy over the best structure of this formula in the dataset is 0 kJ/mol of formula units. The symmetry is P4/mmm, No. 123. For the total energy, the calculation gives -3.3447 eV per atom. The uncorrected formation energy is 1.27 eV per formula unit.

***

[18]
Below is a geometry-optimized Na2LiAsI6 structure, with properties calculated at the PBE level.

POSCAR file:
```
Na2LiAsI6
1.0
-0.024 -2.821 7.034
-3.378 -6.635 1.410
5.459 -6.817 1.369
Na I Li As
2 6 1 1
Cartesian
0.649 -7.922 4.988
5.108 -6.621 1.446
-2.279 -8.317 3.603
-1.055 -7.760 7.767
1.558 -11.025 5.132
3.634 -7.721 6.217
-0.038 -4.743 4.765
2.506 -8.228 2.360
2.859 -12.935 7.070
4.040 -9.810 4.247
```

Values from the calculation:
The symmetry is R3, No. 146. For the total energy, the calculation gives -2.6466 eV per atom. The uncorrected formation energy is -7.96 eV per formula unit.

***

[19]
Below is a geometry-optimized LiAsIO2 structure, with properties calculated at the PBE level.

POSCAR file:
```
LiAsIO2
1.0
-2.561 -0.812 -2.984
2.462 -2.880 -1.329
-2.317 -3.314 2.891
I O Li As
1 2 1 1
Cartesian
-1.159 -1.657 1.445
-1.280 -0.406 -1.492
1.231 -1.440 -0.664
0.000 0.000 0.000
-1.208 -3.503 -0.711
```

Values from the calculation:
The value obtained for the excess energy over the best structure of this formula in the dataset is 536 kJ/mol of formula units. The symmetry is P4/mmm, No. 123. For the total energy, the calculation gives -3.1884 eV per atom. The uncorrected formation energy is 2.09 eV per formula unit.

***

[20]
Below is a geometry-optimized LiAsIO2 structure, with properties calculated at the PBE level.

POSCAR file:
```
LiAsIO2
1.0
-3.330 -0.404 1.822
-1.687 -0.944 -3.292
1.350 -6.213 1.090
O Li As I
2 1 1 1
Cartesian
-1.665 -0.202 0.911
-0.843 -0.472 -1.646
-1.834 -3.780 -0.190
0.000 0.000 0.000
0.675 -3.106 0.545
```

Values from the calculation:
The value obtained for the excess energy over the best structure of this formula in the dataset is 0 kJ/mol of formula units. The symmetry is P4/mmm, No. 123. For the total energy, the calculation gives -4.2989 eV per atom. The uncorrected formation energy is -3.46 eV per formula unit.

***

[21]
Below is a geometry-optimized LiAsP2I structure, with properties calculated at the PBE level.

POSCAR file:
```
LiAsP2I
1.0
4.395 0.000 0.000
0.000 5.504 0.000
0.000 0.000 4.395
As P I Li
1 2 1 1
Cartesian
2.198 2.752 2.198
2.198 0.000 0.000
0.000 0.000 2.198
0.000 2.752 0.000
0.000 0.000 0.000
```

Values from the calculation:
The symmetry is P4/mmm, No. 123. For the total energy, the calculation gives -2.9138 eV per atom. The uncorrected formation energy is 4.36 eV per formula unit.

***

[22]
Below is a geometry-optimized LiAsPt2I structure, with properties calculated at the PBE level.

POSCAR file:
```
LiAsPt2I
1.0
-0.362 2.371 3.964
-5.745 2.282 -1.889
-2.092 -3.629 1.980
I Pt Li As
1 2 1 1
Cartesian
-2.873 1.141 -0.945
-1.046 -1.814 0.990
-0.181 1.186 1.982
-4.100 0.512 2.028
0.000 0.000 0.000
```

Values from the calculation:
The symmetry is P4/mmm, No. 123. For the total energy, the calculation gives -3.9558 eV per atom. The uncorrected formation energy is 0.42 eV per formula unit.